<i>
4
Lattice="-2.124 2.632 -0.114 -1.986 -1.696 -2.152 -3.539 -2.625 5.336" Properties=species:S:1:pos:R:3 comment="PBE Dy2CoCu, relaxed" m_tot_mub_per_cell=0.7 vol_a3_per_cell=79.2 pbc="T T T"
Co -2.055 0.468 -1.133
Cu -3.825 -0.845 1.535
Dy -2.692 -1.997 4.059
Dy -0.847 -0.628 1.277

<ii>
8
Lattice="-3.492 -0.845 -2.124 -0.765 -4.518 3.055 -3.397 5.998 3.201" Properties=species:S:1:pos:R:3 comment="PBE Dy2CoCu, relaxed" m_tot_mub_per_cell=0.0 vol_a3_per_cell=163.5 pbc="T T T"
Dy -4.233 0.891 0.454
Dy -3.422 -0.257 3.678
Dy -1.692 -3.379 2.075
Dy -5.963 4.013 2.057
Co -1.887 -0.540 1.268
Co -5.767 1.175 2.864
Cu -4.080 -1.832 1.287
Cu -3.574 2.466 2.846

Which structure loses on stability? <i> does.

<i>
14
Lattice="-2.523 -6.362 -0.845 4.930 -4.348 2.087 -3.132 2.614 6.166" Properties=species:S:1:pos:R:3 comment="PBE Dy4Co2Cu, relaxed" m_tot_mub_per_cell=0.0 vol_a3_per_cell=317.0 pbc="T T T"
Co -1.387 -1.753 4.731
Co 0.212 -3.115 1.600
Co -2.143 -6.171 3.934
Co 1.544 -5.175 5.384
Cu 1.409 -8.440 2.222
Cu -0.177 -7.080 5.315
Dy -2.301 0.890 5.235
Dy 0.414 -5.716 2.876
Dy -0.788 -0.437 2.303
Dy -3.853 -2.086 5.782
Dy -0.363 -1.141 7.156
Dy -1.108 -4.424 5.858
Dy 1.228 -2.569 4.114
Dy -2.278 -3.517 2.736

<ii>
14
Lattice="7.265 -1.054 -0.151 -1.571 7.170 0.160 -2.735 -3.169 6.027" Properties=species:S:1:pos:R:3 comment="PBE Dy4Co2Cu, relaxed" m_tot_mub_per_cell=0.0 vol_a3_per_cell=304.4 pbc="T T T"
Dy 5.775 -0.502 2.166
Dy 1.327 2.446 1.514
Dy 3.622 1.502 3.717
Dy 3.244 -2.194 4.410
Dy 2.112 -1.144 1.467
Dy -0.385 -1.669 4.522
Dy 0.019 2.004 5.332
Dy 4.958 3.115 0.701
Co 1.317 0.197 3.726
Co 3.064 4.279 2.309
Co 3.814 0.729 0.689
Co -2.279 0.691 5.352
Cu -0.734 3.528 3.092
Cu -2.731 -3.165 6.025

Which structure loses on stability? <ii> does.

<i>
6
Lattice="4.528 0.000 2.542 1.550 4.194 2.542 0.092 0.208 5.139" Properties=species:S:1:pos:R:3 comment="PBE DyCoCu, relaxed" m_tot_mub_per_cell=0.6 vol_a3_per_cell=95.0 pbc="T T T"
Dy 4.581 1.646 5.100
Dy 1.590 2.756 5.124
Co 0.000 0.000 0.000
Co 2.264 0.000 1.271
Cu 3.039 2.097 2.542
Cu 2.310 0.104 3.841

<ii>
3
Lattice="3.647 0.000 0.000 0.000 4.093 0.000 0.000 -2.047 3.545" Properties=species:S:1:pos:R:3 comment="PBE DyCoCu, relaxed" m_tot_mub_per_cell=0.6 vol_a3_per_cell=52.9 pbc="T T T"
Co 0.608 0.000 2.363
Cu 0.608 0.000 0.000
Dy 2.431 2.047 1.182

<iii>
6
Lattice="-3.559 1.079 3.894 -1.488 -1.926 -4.804 3.383 -4.118 -0.086" Properties=species:S:1:pos:R:3 comment="PBE DyCoCu, relaxed" m_tot_mub_per_cell=1.9 vol_a3_per_cell=101.4 pbc="T T T"
Dy 1.149 -4.567 -2.123
Dy -2.813 -0.398 1.127
Cu 1.691 -2.059 -0.043
Cu -0.832 -2.482 -0.498
Co -1.551 -2.626 -3.800
Co -0.113 -2.339 2.804

Which structure loses on stability? <iii> does.